! Sr2HgIr, relaxed, DFT GGA-PBEsol; values from VASP
&SYSTEM
  ibrav = 0, nat = 4, ntyp = 3
/
ATOMIC_SPECIES
Ir 192.22 Ir.upf
Sr 87.62 Sr.upf
Hg 200.59 Hg.upf
CELL_PARAMETERS angstrom
-3.119 0.331 1.891
-0.919 -3.426 -0.915
3.999 -2.974 7.117
ATOMIC_POSITIONS angstrom
Ir 0.765 -3.617 5.442
Sr -0.660 -2.558 2.906
Hg 2.223 -1.654 3.957
Sr 3.632 -2.701 6.463
! crystal system = tetragonal

***

! CuAg2Pt, relaxed, DFT GGA-PBEsol; values from VASP
&SYSTEM
  ibrav = 0, nat = 4, ntyp = 3
/
ATOMIC_SPECIES
Ag 107.87 Ag.upf
Cu 63.55 Cu.upf
Pt 195.08 Pt.upf
CELL_PARAMETERS angstrom
4.387 0.000 0.000
2.194 3.800 0.000
2.194 1.267 3.582
ATOMIC_POSITIONS angstrom
Ag 0.000 0.000 0.000
Cu 4.387 2.533 1.791
Ag 6.581 3.800 2.687
Pt 2.194 1.267 0.896
! crystal system = cubic

***

Number 1: electronic total energy -3.48 eV/atom, energy of formation 0.0328 eV per atom. Number 2: electronic total energy -4.42 eV/atom, energy of formation 0.0647 eV per atom.